PuNiS | PBE | relaxed

Computed properties:
VASP energy: -9.013 eV per atom
Formation energy from raw total energies: -0.933 eV/atom
D(E_F): 18.86 states/eV per cell

abc: 5.480 5.480 5.529
angles: 93.08 93.08 41.35
Atoms (fractional coordinates):
Pu 0.134 0.134 0.240
Pu 0.866 0.866 0.760
Ni 0.430 0.430 0.169
Ni 0.570 0.570 0.831
S 0.161 0.161 0.736
S 0.839 0.839 0.264